1.
{"formula": "Fe3P", "functional": "GGA-PBEsol", "state": "optimized geometry", "formation_energy_ev_per_atom": -0.325, "total_energy_ev_per_atom": -8.50, "m_tot_mub_per_fu": 5.10, "lattice": [[4.6212, 0.0000, 0.0000], [0.0000, 5.5656, 0.0000], [0.0000, 0.0000, 6.7452]], "species": ["Fe", "Fe", "Fe", "Fe", "Fe", "Fe", "Fe", "Fe", "Fe", "Fe", "Fe", "Fe", "P", "P", "P", "P"], "frac_coords": [[0.0951, 0.0030, 0.7500], [0.5951, 0.4970, 0.2500], [0.4049, 0.5030, 0.7500], [0.9049, 0.9970, 0.2500], [0.6538, 0.1841, 0.9529], [0.1538, 0.3159, 0.0471], [0.8462, 0.6841, 0.5471], [0.3462, 0.8159, 0.4529], [0.3462, 0.8159, 0.0471], [0.8462, 0.6841, 0.9529], [0.1538, 0.3159, 0.4529], [0.6538, 0.1841, 0.5471], [0.5607, 0.8889, 0.7500], [0.0607, 0.6111, 0.2500], [0.9393, 0.3889, 0.7500], [0.4393, 0.1111, 0.2500]]}



2.
{"formula": "BiI3", "functional": "GGA-PBEsol", "state": "optimized geometry", "total_energy_ev_per_atom": -2.84, "formation_energy_uncorrected_ev_per_atom": -0.4404, "m_tot_mub_per_fu": 0.00, "lattice": [[7.5507, -0.0005, 0.0002], [3.7750, 6.5388, 0.0002], [3.7753, 2.1795, 6.9245]], "species": ["I", "I", "I", "I", "I", "I", "Bi", "Bi"], "frac_coords": [[0.7470, 0.0846, 0.7393], [0.4290, 0.7471, 0.7393], [0.9154, 0.5710, 0.2607], [0.5710, 0.2529, 0.2607], [0.2530, 0.9154, 0.2607], [0.0846, 0.4290, 0.7393], [0.3335, 0.3335, 0.9994], [0.6665, 0.6665, 0.0006]]}



3.
{"formula": "Na2TlCdHg", "functional": "GGA-PBEsol", "state": "optimized geometry", "formation_energy_ev_per_atom": 0.175, "total_energy_ev_per_atom": -1.26, "m_tot_mub_per_fu": 0.00, "lattice": [[-4.8687, 1.6817, 0.8413], [-1.5216, -1.8555, -5.0967], [-1.3431, -4.9997, 2.2212]], "species": ["Na", "Na", "Tl", "Hg", "Cd"], "frac_coords": [[0.0000, 0.0000, 0.5000], [0.0000, 0.5000, 0.0000], [0.5000, 0.5000, 0.5000], [0.5000, 0.0000, 0.0000], [0.0000, 0.0000, 0.0000]]}



4.
{"formula": "MgRh3", "functional": "GGA-PBEsol", "state": "optimized geometry", "formation_energy_ev_per_atom": -0.124, "total_energy_ev_per_atom": -6.66, "m_tot_mub_per_fu": 0.00, "lattice": [[2.7397, 0.0000, 0.0000], [0.0000, 3.7964, 0.0000], [0.0000, 0.0000, 5.4235]], "species": ["Mg", "Rh", "Rh", "Rh"], "frac_coords": [[0.0000, 0.0000, 0.0000], [0.5000, 0.5000, 0.7423], [0.0000, 0.0000, 0.5000], [0.5000, 0.5000, 0.2577]]}



5.
{"formula": "SmGa3Pd", "functional": "GGA-PBEsol", "state": "optimized geometry", "formation_energy_ev_per_atom": -0.724, "total_energy_ev_per_atom": -4.94, "m_tot_mub_per_fu": 0.00, "lattice": [[-4.1091, 0.0939, -0.1864], [0.0891, -2.5336, -3.2405], [1.7645, -2.9947, 5.0018]], "species": ["Ga", "Ga", "Ga", "Pd", "Sm"], "frac_coords": [[0.3869, 0.3869, 0.7739], [0.6131, 0.6131, 0.2261], [0.2500, 0.7500, 0.5000], [0.7500, 0.2500, 0.5000], [0.0000, 0.0000, 0.0000]]}



6.
{"formula": "CuRe2AgF", "functional": "GGA-PBEsol", "state": "optimized geometry", "total_energy_ev_per_atom": -5.22, "formation_energy_uncorrected_ev_per_atom": 2.0256, "m_tot_mub_per_fu": 6.06, "lattice": [[4.5487, 0.0000, 0.0000], [0.0000, 4.5487, 0.0000], [0.0000, 0.0000, 4.7096]], "species": ["Re", "Re", "Cu", "Ag", "F"], "frac_coords": [[0.0000, 0.5000, 0.0000], [0.5000, 0.0000, 0.0000], [0.0000, 0.0000, 0.0000], [0.0000, 0.0000, 0.5000], [0.5000, 0.5000, 0.5000]]}



7.
{"formula": "Cs2ScHgBr6", "functional": "GGA-PBEsol", "state": "optimized geometry", "total_energy_ev_per_atom": -3.46, "formation_energy_uncorrected_ev_per_atom": -1.4324, "m_tot_mub_per_fu": 0.00, "lattice": [[7.8922, 0.0000, 0.0000], [3.9461, 6.8348, 0.0000], [3.9461, 2.2783, 6.4440]], "species": ["Cs", "Cs", "Sc", "Hg", "Br", "Br", "Br", "Br", "Br", "Br"], "frac_coords": [[0.7500, 0.7500, 0.7500], [0.2500, 0.2500, 0.2500], [0.0000, 0.0000, 0.0000], [0.5000, 0.5000, 0.5000], [0.7643, 0.2357, 0.2357], [0.7643, 0.7643, 0.2357], [0.2357, 0.7643, 0.7643], [0.7643, 0.2357, 0.7643], [0.2357, 0.7643, 0.2357], [0.2357, 0.2357, 0.7643]]}



8.
{"formula": "MgTe", "functional": "GGA-PBEsol", "state": "optimized geometry", "total_energy_ev_per_atom": -3.46, "formation_energy_uncorrected_ev_per_atom": -0.8404, "m_tot_mub_per_fu": 0.00, "lattice": [[-3.5872, -1.8620, 1.0888], [2.5836, -1.8612, -2.7169], [3.1800, -3.1116, 5.1555]], "species": ["Mg", "Mg", "Te", "Te"], "frac_coords": [[0.0000, 0.0000, 0.0000], [0.0000, 0.0000, 0.5000], [0.6667, 0.3333, 0.7500], [0.3333, 0.6667, 0.2500]]}



9.
{"formula": "Sc2TlAs", "functional": "GGA-PBEsol", "state": "optimized geometry", "formation_energy_ev_per_atom": -0.680, "total_energy_ev_per_atom": -5.92, "m_tot_mub_per_fu": 0.00, "lattice": [[3.9665, 0.0000, 0.0000], [0.0000, 4.0358, -0.0083], [0.0000, -2.0071, 5.2649]], "species": ["As", "Sc", "Sc", "Tl"], "frac_coords": [[0.5000, 0.3549, 0.8341], [0.0000, 0.8805, 0.8858], [0.5000, 0.6159, 0.3572], [0.0000, 0.1488, 0.4229]]}



10.
{"formula": "Rb4B9S9", "functional": "GGA-PBEsol", "state": "optimized geometry", "total_energy_ev_per_atom": -5.62, "formation_energy_uncorrected_ev_per_atom": -0.7719, "m_tot_mub_per_fu": 0.00, "lattice": [[-0.1758, -2.0443, 9.7615], [1.6280, -8.5243, -5.2031], [9.8475, 3.3874, -1.8550]], "species": ["Rb", "Rb", "Rb", "Rb", "Rb", "Rb", "Rb", "Rb", "B", "B", "B", "B", "B", "B", "B", "B", "B", "B", "B", "B", "B", "B", "B", "B", "B", "B", "S", "S", "S", "S", "S", "S", "S", "S", "S", "S", "S", "S", "S", "S", "S", "S", "S", "S"], "frac_coords": [[0.8178, 0.3796, 0.7516], [0.1822, 0.6204, 0.2484], [0.7498, 0.6226, 0.4720], [0.2502, 0.3774, 0.5280], [0.6153, 0.3779, 0.1300], [0.3847, 0.6221, 0.8700], [0.6424, 0.0050, 0.3719], [0.3576, 0.9950, 0.6281], [0.9258, 0.2632, 0.2550], [0.0742, 0.7368, 0.7450], [0.3358, 0.2380, 0.8547], [0.6642, 0.7620, 0.1453], [0.3684, 0.1836, 0.3167], [0.6316, 0.8164, 0.6833], [0.9900, 0.0417, 0.1503], [0.0100, 0.9583, 0.8497], [0.0630, 0.1372, 0.9154], [0.9370, 0.8628, 0.0846], [0.1706, 0.0334, 0.9823], [0.8294, 0.9666, 0.0177], [0.1282, 0.9755, 0.1293], [0.8718, 0.0245, 0.8707], [0.1339, 0.1456, 0.0889], [0.8661, 0.8544, 0.9111], [0.9502, 0.1428, 0.0213], [0.0498, 0.8572, 0.9787], [0.0262, 0.8911, 0.6920], [0.9738, 0.1089, 0.3080], [0.4767, 0.7379, 0.5449], [0.5233, 0.2621, 0.4551], [0.5185, 0.6565, 0.2049], [0.4815, 0.3435, 0.7951], [0.0952, 0.6205, 0.6308], [0.9048, 0.3795, 0.3692], [0.1622, 0.2760, 0.8274], [0.8378, 0.7240, 0.1726], [0.3523, 0.0899, 0.9466], [0.6477, 0.9101, 0.0534], [0.2809, 0.9885, 0.2785], [0.7191, 0.0115, 0.7215], [0.2878, 0.2903, 0.2042], [0.7122, 0.7097, 0.7958], [0.9064, 0.2942, 0.0803], [0.0936, 0.7058, 0.9197]]}



11.
{"formula": "Tc2GeS", "functional": "GGA-PBEsol", "state": "optimized geometry", "total_energy_ev_per_atom": -8.01, "formation_energy_uncorrected_ev_per_atom": -0.0418, "m_tot_mub_per_fu": 0.00, "lattice": [[-1.1207, -0.6895, -4.0068], [0.0780, -3.9143, -1.5677], [-3.6121, -1.9973, -0.8654]], "species": ["S", "Ge", "Tc", "Tc"], "frac_coords": [[0.0000, 0.0000, 0.0000], [0.5000, 0.5000, 0.5000], [0.2500, 0.2500, 0.2500], [0.7500, 0.7500, 0.7500]]}



12.
{"formula": "La2SiTc", "functional": "GGA-PBEsol", "state": "optimized geometry", "total_energy_ev_per_atom": -7.26, "formation_energy_uncorrected_ev_per_atom": -0.3342, "m_tot_mub_per_fu": 0.00, "lattice": [[-4.1192, 0.1035, -0.8894], [-1.8079, -3.2444, -1.9937], [-3.3568, -3.9970, 5.0919]], "species": ["Si", "Tc", "La", "La"], "frac_coords": [[0.4574, 0.4574, 0.6279], [0.7929, 0.7929, 0.6213], [0.0339, 0.0339, 0.8983], [0.2158, 0.2158, 0.3525]]}



13.
{"formula": "CaAu3", "functional": "GGA-PBEsol", "state": "optimized geometry", "formation_energy_ev_per_atom": -0.483, "total_energy_ev_per_atom": -3.96, "m_tot_mub_per_fu": 0.00, "lattice": [[-2.2053, 4.1905, 0.6089], [-3.0260, 0.5977, 3.6443], [1.2000, 2.8193, 3.6615]], "species": ["Ca", "Au", "Au", "Au"], "frac_coords": [[0.0000, 0.0000, 0.0000], [0.2500, 0.2500, 0.2500], [0.5000, 0.5000, 0.5000], [0.7500, 0.7500, 0.7500]]}



14.
{"formula": "CaCd2Au2", "functional": "GGA-PBEsol", "state": "optimized geometry", "formation_energy_ev_per_atom": -0.450, "total_energy_ev_per_atom": -2.93, "m_tot_mub_per_fu": 0.00, "lattice": [[4.1340, 0.0000, 0.0000], [0.0000, 4.1340, 0.0000], [-2.0670, -2.0670, 6.4938]], "species": ["Ca", "Au", "Au", "Cd", "Cd"], "frac_coords": [[0.0000, 0.0000, 0.0000], [0.3981, 0.3981, 0.7962], [0.6019, 0.6019, 0.2038], [0.2500, 0.7500, 0.5000], [0.7500, 0.2500, 0.5000]]}



15.
{"formula": "MoW2Se2S4", "functional": "GGA-PBEsol", "state": "optimized geometry", "total_energy_ev_per_atom": -7.98, "formation_energy_uncorrected_ev_per_atom": -0.8039, "m_tot_mub_per_fu": 0.00, "lattice": [[-0.7510, -2.9470, 0.9388], [3.0277, 0.7428, -0.6414], [2.7263, 5.3959, 19.1196]], "species": ["Mo", "W", "W", "Se", "Se", "S", "S", "S", "S"], "frac_coords": [[0.0000, 0.0000, 0.6558], [0.3333, 0.6667, 0.9675], [0.3333, 0.6667, 0.3358], [0.0000, 0.0000, 0.4212], [0.0000, 0.0000, 0.2505], [0.3333, 0.6667, 0.5788], [0.0000, 0.0000, 0.0450], [0.0000, 0.0000, 0.8899], [0.3333, 0.6667, 0.7327]]}



16.
{"formula": "K2SbTe", "functional": "GGA-PBEsol", "state": "optimized geometry", "total_energy_ev_per_atom": -2.87, "formation_energy_uncorrected_ev_per_atom": -0.2787, "m_tot_mub_per_fu": 0.00, "lattice": [[-1.1825, -1.4707, -3.7812], [0.5467, -3.9604, 1.3694], [-9.4252, -0.2484, 3.0441]], "species": ["K", "K", "Sb", "Te"], "frac_coords": [[0.0000, 0.0000, 0.9197], [0.5000, 0.5000, 0.3299], [0.0000, 0.0000, 0.5830], [0.5000, 0.5000, 0.6674]]}



17.
{"formula": "MnMoO4", "functional": "GGA-PBEsol", "state": "optimized geometry", "total_energy_ev_per_atom": -8.92, "formation_energy_uncorrected_ev_per_atom": -1.8307, "m_tot_mub_per_fu": 4.99, "lattice": [[4.6784, 0.0091, 0.0000], [-0.0730, 4.9283, 0.0000], [0.0000, 0.0000, 5.6685]], "species": ["Mn", "Mn", "Mo", "Mo", "O", "O", "O", "O", "O", "O", "O", "O"], "frac_coords": [[0.0000, 0.2500, 0.8227], [0.0000, 0.7500, 0.1773], [0.5000, 0.2500, 0.3184], [0.5000, 0.7500, 0.6816], [0.2814, 0.5627, 0.3920], [0.7186, 0.9373, 0.3920], [0.7186, 0.4373, 0.6080], [0.2814, 0.0627, 0.6080], [0.2405, 0.5974, 0.8776], [0.7595, 0.9026, 0.8776], [0.7595, 0.4026, 0.1224], [0.2405, 0.0974, 0.1224]]}



18.
{"formula": "Ni3MoAu", "functional": "GGA-PBEsol", "state": "optimized geometry", "formation_energy_ev_per_atom": 1.434, "total_energy_ev_per_atom": -5.40, "m_tot_mub_per_fu": 0.00, "lattice": [[4.3655, 0.0000, 0.0000], [0.0000, 4.3655, 0.0000], [0.0000, 0.0000, 4.3655]], "species": ["Ni", "Ni", "Ni", "Mo", "Au"], "frac_coords": [[0.0000, 0.5000, 0.0000], [0.0000, 0.0000, 0.5000], [0.5000, 0.0000, 0.0000], [0.0000, 0.0000, 0.0000], [0.5000, 0.5000, 0.5000]]}



19.
{"formula": "Co2TePt", "functional": "GGA-PBEsol", "state": "optimized geometry", "total_energy_ev_per_atom": -6.23, "formation_energy_uncorrected_ev_per_atom": 0.2561, "m_tot_mub_per_fu": 2.31, "lattice": [[-1.5501, -1.4019, -2.2519], [-2.2789, -1.1026, 2.2551], [-2.9721, 4.5427, -0.7823]], "species": ["Te", "Co", "Co", "Pt"], "frac_coords": [[0.5000, 0.5000, 0.5000], [0.0000, 0.0000, 0.7636], [0.0000, 0.0000, 0.2364], [0.5000, 0.5000, 0.0000]]}



20.
{"formula": "MgZnSe2", "functional": "GGA-PBEsol", "state": "optimized geometry", "total_energy_ev_per_atom": -3.21, "formation_energy_uncorrected_ev_per_atom": -0.4569, "m_tot_mub_per_fu": 0.00, "lattice": [[3.7236, 0.0000, 0.0000], [0.0000, 5.2882, 0.0000], [0.0000, 0.0000, 8.7129]], "species": ["Mg", "Mg", "Se", "Se", "Se", "Se", "Zn", "Zn"], "frac_coords": [[0.5000, 0.0000, 0.5973], [0.0000, 0.5000, 0.4027], [0.5000, 0.5000, 0.6237], [0.0000, 0.0000, 0.3763], [0.5000, 0.0000, 0.8846], [0.0000, 0.5000, 0.1154], [0.0000, 0.5000, 0.8456], [0.5000, 0.0000, 0.1544]]}



21.
{"formula": "POsPbO2", "functional": "GGA-PBEsol", "state": "optimized geometry", "total_energy_ev_per_atom": -6.86, "formation_energy_uncorrected_ev_per_atom": -0.3627, "m_tot_mub_per_fu": 0.00, "lattice": [[-0.2097, 2.6837, 2.7808], [2.5218, -2.0153, 2.1351], [3.8133, 2.5100, -2.1349]], "species": ["Pb", "P", "Os", "O", "O"], "frac_coords": [[0.5000, 0.5000, 0.5000], [0.0000, 0.0000, 0.5000], [0.0000, 0.0000, 0.0000], [0.0000, 0.5000, 0.0000], [0.5000, 0.0000, 0.0000]]}



22.
{"formula": "LaRuBr2", "functional": "GGA-PBEsol", "state": "optimized geometry", "total_energy_ev_per_atom": -5.23, "formation_energy_uncorrected_ev_per_atom": -0.4186, "m_tot_mub_per_fu": 0.00, "lattice": [[-3.2061, -0.4752, 1.2982], [0.3184, -3.4444, -0.4745], [3.0176, -0.7118, 7.1922]], "species": ["Ru", "Br", "Br", "La"], "frac_coords": [[0.5000, 0.5000, 0.7986], [0.0000, 0.0000, 0.8970], [0.5000, 0.5000, 0.2819], [0.0000, 0.0000, 0.5225]]}



23.
{"formula": "Ca2CdRe", "functional": "GGA-PBEsol", "state": "optimized geometry", "formation_energy_ev_per_atom": 0.478, "total_energy_ev_per_atom": -4.22, "m_tot_mub_per_fu": 0.00, "lattice": [[2.9508, 0.0000, 0.0000], [0.0000, 3.5115, 0.0000], [0.0000, 0.0000, 8.6912]], "species": ["Re", "Ca", "Ca", "Cd"], "frac_coords": [[0.5000, 0.5000, 0.5000], [0.0000, 0.0000, 0.7219], [0.0000, 0.0000, 0.2781], [0.5000, 0.5000, 0.0000]]}



24.
{"formula": "Na5Ca4P4O16F", "functional": "GGA-PBEsol", "state": "optimized geometry", "total_energy_ev_per_atom": -6.83, "formation_energy_uncorrected_ev_per_atom": -2.6797, "m_tot_mub_per_fu": 0.00, "lattice": [[-0.0990, 1.3201, -5.2442], [-7.6635, -2.2869, -3.2203], [-3.0528, 8.0316, -0.7098]], "species": ["Na", "Na", "Na", "Na", "Na", "Ca", "Ca", "Ca", "Ca", "P", "P", "P", "P", "O", "O", "O", "O", "O", "O", "O", "O", "O", "O", "O", "O", "O", "O", "O", "O", "F"], "frac_coords": [[0.6521, 0.2042, 0.0181], [0.3298, 0.0181, 0.7958], [0.1438, 0.9819, 0.2042], [0.7500, 0.5000, 0.5000], [0.8744, 0.7958, 0.9819], [0.0939, 0.7893, 0.5667], [0.1168, 0.4333, 0.7893], [0.3394, 0.5667, 0.2107], [0.4499, 0.2107, 0.4333], [0.8417, 0.1452, 0.6452], [0.6322, 0.8548, 0.3548], [0.5131, 0.6452, 0.8548], [0.0131, 0.3548, 0.1452], [0.3378, 0.7799, 0.9866], [0.2233, 0.3162, 0.2422], [0.4651, 0.9387, 0.5218], [0.4605, 0.7578, 0.3162], [0.0130, 0.5218, 0.0613], [0.7268, 0.3620, 0.2626], [0.5345, 0.2422, 0.6838], [0.5961, 0.4782, 0.9387], [0.8824, 0.0134, 0.7799], [0.7817, 0.6838, 0.7578], [0.6757, 0.9866, 0.2201], [0.9113, 0.7374, 0.3620], [0.3513, 0.6380, 0.7374], [0.9257, 0.0613, 0.4782], [0.0106, 0.2626, 0.6380], [0.1042, 0.2201, 0.0134], [0.2500, 0.5000, 0.5000]]}